This record from Alexandria via LeMat-Bulk describes crystalline MnHPdAu at its relaxed geometry. The functional is PBE-GGA.

```
data_MnHPdAu
_chemical_formula_sum 'Mn1 H1 Pd1 Au1'
_cell_length_a 2.8704
_cell_length_b 2.8704
_cell_length_c 7.1296
_cell_angle_alpha 90.00
_cell_angle_beta 90.00
_cell_angle_gamma 120.00
_symmetry_space_group_name_H-M 'P 1'
_symmetry_Int_Tables_number 1
_symmetry_space_group_name_Hall 'P 1'
loop_
_atom_site_label
_atom_site_type_symbol
_atom_site_fract_x
_atom_site_fract_y
_atom_site_fract_z
_atom_site_occupancy
Pd1 Pd 0.0000 0.0000 0.6961 1
Au1 Au 0.6667 0.3333 0.0311 1
H1 H 0.6667 0.3333 0.3102 1
Mn1 Mn 0.3333 0.6667 0.4048 1
```

Summary:
Symmetry: No. 156
Electronic total energy (eV/atom): -5.2442
Energy above the lowest structure with this stoichiometry (meV per atom): 96
Total moment (μB per cell): 3.601


This record from Alexandria via LeMat-Bulk describes crystalline Mn2HPdAu at its relaxed geometry. The functional is PBE-GGA.

```
data_Mn2HPdAu
_chemical_formula_sum 'Mn2 H1 Pd1 Au1'
_cell_length_a 4.1809
_cell_length_b 4.1809
_cell_length_c 3.7436
_cell_angle_alpha 90.00
_cell_angle_beta 90.00
_cell_angle_gamma 90.00
_symmetry_space_group_name_H-M 'P 1'
_symmetry_Int_Tables_number 1
_symmetry_space_group_name_Hall 'P 1'
loop_
_atom_site_label
_atom_site_type_symbol
_atom_site_fract_x
_atom_site_fract_y
_atom_site_fract_z
_atom_site_occupancy
Pd1 Pd 0.0000 0.0000 0.5000 1
Mn1 Mn 0.0000 0.5000 0.0000 1
Mn2 Mn 0.5000 0.0000 0.0000 1
Au1 Au 0.5000 0.5000 0.5000 1
H1 H 0.0000 0.0000 0.0000 1
```

Summary:
Symmetry: No. 123
Electronic total energy (eV/atom): -6.0850
Energy above the lowest structure with this stoichiometry (meV per atom): 0
Total moment (μB per cell): 8.093


This record from Alexandria via LeMat-Bulk describes crystalline MnHPdAu at its relaxed geometry. The functional is PBE-GGA.

```
data_MnHPdAu
_chemical_formula_sum 'Mn2 H2 Pd2 Au2'
_cell_length_a 2.8532
_cell_length_b 2.8532
_cell_length_c 12.2178
_cell_angle_alpha 90.00
_cell_angle_beta 90.00
_cell_angle_gamma 90.00
_symmetry_space_group_name_H-M 'P 1'
_symmetry_Int_Tables_number 1
_symmetry_space_group_name_Hall 'P 1'
loop_
_atom_site_label
_atom_site_type_symbol
_atom_site_fract_x
_atom_site_fract_y
_atom_site_fract_z
_atom_site_occupancy
Mn1 Mn 0.5000 0.5000 0.7822 1
Mn2 Mn 0.0000 0.0000 0.2822 1
H1 H 0.0000 0.0000 0.7674 1
H2 H 0.5000 0.5000 0.2674 1
Pd1 Pd 0.0000 0.0000 0.6230 1
Pd2 Pd 0.5000 0.5000 0.1230 1
Au1 Au 0.5000 0.5000 0.4517 1
Au2 Au 0.0000 0.0000 0.9517 1
```

Summary:
Symmetry: No. 107
Electronic total energy (eV/atom): -5.2884
Energy above the lowest structure with this stoichiometry (meV per atom): 52
Total moment (μB per cell): 7.517


This record from Alexandria via LeMat-Bulk describes crystalline MnHPdAu at its relaxed geometry. The functional is PBE-GGA.

```
data_MnHPdAu
_chemical_formula_sum 'Mn3 H3 Pd3 Au3'
_cell_length_a 2.9003
_cell_length_b 2.9003
_cell_length_c 20.3680
_cell_angle_alpha 90.00
_cell_angle_beta 90.00
_cell_angle_gamma 120.00
_symmetry_space_group_name_H-M 'P 1'
_symmetry_Int_Tables_number 1
_symmetry_space_group_name_Hall 'P 1'
loop_
_atom_site_label
_atom_site_type_symbol
_atom_site_fract_x
_atom_site_fract_y
_atom_site_fract_z
_atom_site_occupancy
Au1 Au 0.6667 0.3333 0.6637 1
Au2 Au 0.3333 0.6667 0.9971 1
Au3 Au 0.0000 0.0000 0.3304 1
Pd1 Pd 0.6667 0.3333 0.4468 1
Pd2 Pd 0.3333 0.6667 0.7801 1
Pd3 Pd 0.0000 0.0000 0.1135 1
Mn1 Mn 0.3333 0.6667 0.2224 1
Mn2 Mn 0.6667 0.3333 0.8891 1
Mn3 Mn 0.0000 0.0000 0.5558 1
H1 H 0.0000 0.0000 0.8530 1
H2 H 0.6667 0.3333 0.1863 1
H3 H 0.3333 0.6667 0.5197 1
```

Summary:
Symmetry: No. 160
Electronic total energy (eV/atom): -5.2641
Energy above the lowest structure with this stoichiometry (meV per atom): 76
Total moment (μB per cell): 10.779